Record 1
VASP calculation (GGA-PBE) on crystalline GaCu6Sn at its relaxed geometry.

The structure belongs to space group P-6m2 (No. 187); the cell edges are 5.4757, 5.4757 and 4.2148 Å and the angles 90.00°, 90.00° and 120.00°. Symmetry generates all atoms from Ga at (0.0000, 0.0000, 0.0000), Cu at (0.0213, 0.5107, 0.0000), Cu at (0.1675, 0.3351, 0.5000) and Sn at (0.6667, 0.3333, 0.5000).

The offset from the most stable computed form comes out at 0 kJ/mol of formula units.

Record 2
VASP calculation (GGA-PBE) on crystalline GaCuSn at its relaxed geometry.

The structure belongs to space group P-1 (No. 2); the cell edges are 4.173, 4.540 and 7.180 Å and the angles 78.56°, 73.27° and 63.45°. Symmetry generates all atoms from Ga at (0.000, 0.000, 0.000), Ga at (0.500, 0.500, 0.500), Cu at (0.158, 0.071, 0.616) and Sn at (0.231, 0.332, 0.210).

Record 3
VASP calculation (GGA-PBE) on crystalline Ga5Cu3Sn12 at its relaxed geometry.

The structure belongs to space group Ia-3d (No. 230); the cell edges are 16.185, 16.185 and 16.185 Å and the angles 90.00°, 90.00° and 90.00°. Symmetry generates all atoms from Ga at (0.000, 0.000, 0.000), Ga at (0.000, 0.250, 0.375), Cu at (0.000, 0.250, 0.125) and Sn at (0.022, 0.087, 0.649).

Record 4
VASP calculation (GGA-PBE) on crystalline Sr2GaCu4Sn3 at its relaxed geometry.

The structure belongs to space group P-4m2 (No. 115); the cell edges are 4.543, 4.543 and 10.597 Å and the angles 90.00°, 90.00° and 90.00°. Symmetry generates all atoms from Sr at (0.000, 0.500, 0.246), Ga at (0.000, 0.000, 0.500), Cu at (0.000, 0.000, 0.000), Cu at (0.000, 0.500, 0.626), Cu at (0.500, 0.500, 0.000), Sn at (0.000, 0.500, 0.873) and Sn at (0.500, 0.500, 0.500).

Record 5
VASP calculation (GGA-PBE) on crystalline Sr2Ga3CuSn4 at its relaxed geometry.

The structure belongs to space group P-4m2 (No. 115); the cell edges are 4.898, 4.898 and 10.877 Å and the angles 90.00°, 90.00° and 90.00°. Symmetry generates all atoms from Sr at (0.000, 0.500, 0.232), Ga at (0.000, 0.000, 0.000), Ga at (0.000, 0.500, 0.633), Cu at (0.500, 0.500, 0.000), Sn at (0.000, 0.000, 0.500), Sn at (0.000, 0.500, 0.880) and Sn at (0.500, 0.500, 0.500).

Record 6
VASP calculation (GGA-PBE) on crystalline Ga2CuTcSn at its relaxed geometry.

The structure belongs to space group P4/mmm (No. 123); the cell edges are 4.800, 4.800 and 4.822 Å and the angles 90.00°, 90.00° and 90.00°. Symmetry generates all atoms from Ga at (0.000, 0.500, 0.000), Cu at (0.000, 0.000, 0.500), Tc at (0.000, 0.000, 0.000) and Sn at (0.500, 0.500, 0.500).

Record 7
VASP calculation (GGA-PBE) on crystalline TlGa2CuSn at its relaxed geometry.

The structure belongs to space group P4/mmm (No. 123); the cell edges are 4.770, 4.770 and 5.303 Å and the angles 90.00°, 90.00° and 90.00°. Symmetry generates all atoms from Tl at (0.000, 0.000, 0.000), Ga at (0.000, 0.500, 0.500), Cu at (0.000, 0.000, 0.500) and Sn at (0.500, 0.500, 0.000).

The offset from the most stable computed form comes out at 31 kJ/mol of formula units.

Record 8
VASP calculation (GGA-PBE) on crystalline TlGa2CuSn at its relaxed geometry.

The structure belongs to space group P4/mmm (No. 123); the cell edges are 4.806, 4.806 and 5.235 Å and the angles 90.00°, 90.00° and 90.00°. Symmetry generates all atoms from Tl at (0.000, 0.000, 0.000), Ga at (0.000, 0.500, 0.500), Cu at (0.500, 0.500, 0.500) and Sn at (0.500, 0.500, 0.000).

The offset from the most stable computed form comes out at 0 kJ/mol of formula units.

Record 9
VASP calculation (GGA-PBE) on crystalline GaCu2SnW at its relaxed geometry.

The structure belongs to space group P4/mmm (No. 123); the cell edges are 4.742, 4.742 and 5.176 Å and the angles 90.00°, 90.00° and 90.00°. Symmetry generates all atoms from Ga at (0.000, 0.000, 0.000), Cu at (0.000, 0.500, 0.500), Sn at (0.000, 0.000, 0.500) and W at (0.500, 0.500, 0.000).

Record 10
VASP calculation (GGA-PBE) on crystalline ZnGaCu2Sn at its relaxed geometry.

The structure belongs to space group P4/mmm (No. 123); the cell edges are 4.614, 4.614 and 4.677 Å and the angles 90.00°, 90.00° and 90.00°. Symmetry generates all atoms from Zn at (0.000, 0.000, 0.000), Ga at (0.000, 0.000, 0.500), Cu at (0.000, 0.500, 0.500) and Sn at (0.500, 0.500, 0.000).

Record 11
VASP calculation (GGA-PBE) on crystalline Sr2Ga5Cu at its relaxed geometry.

The structure belongs to space group I4mm (No. 107); the cell edges are 5.941, 5.941 and 11.032 Å and the angles 90.00°, 90.00° and 90.00°. Symmetry generates all atoms from Sr at (0.000, 0.500, 0.000), Ga at (0.000, 0.000, 0.408), Ga at (0.234, 0.234, 0.239) and Cu at (0.000, 0.000, 0.636).

The offset from the most stable computed form comes out at 77 kJ/mol of formula units.

Record 12
VASP calculation (GGA-PBE) on crystalline SrGa2Cu6 at its relaxed geometry.

The structure belongs to space group Immm (No. 71); the cell edges are 4.249, 6.720 and 10.909 Å and the angles 90.00°, 90.00° and 90.00°. Symmetry generates all atoms from Sr at (0.000, 0.000, 0.000), Ga at (0.000, 0.500, 0.140), Cu at (0.000, 0.171, 0.500) and Cu at (0.000, 0.193, 0.284).

Record 13
VASP calculation (GGA-PBE) on crystalline Sr3Ga2Cu at its relaxed geometry.

The structure belongs to space group Pnma (No. 62); the cell edges are 12.911, 4.525 and 12.739 Å and the angles 90.00°, 90.00° and 90.00°. Symmetry generates all atoms from Sr at (0.063, 0.250, 0.122), Sr at (0.111, 0.750, 0.560), Sr at (0.203, 0.250, 0.805), Ga at (0.045, 0.750, 0.312), Ga at (0.211, 0.750, 0.994) and Cu at (0.126, 0.250, 0.371).

Record 14
VASP calculation (GGA-PBE) on crystalline SrGaCu2 at its relaxed geometry.

The structure belongs to space group R-3m (No. 166, hexagonal axes); the cell edges are 4.2853, 4.2853 and 16.0447 Å and the angles 90.00°, 90.00° and 120.00°. Symmetry generates all atoms from Sr at (0.0000, 0.0000, 0.0000), Ga at (0.0000, 0.0000, 0.5000) and Cu at (0.0000, 0.0000, 0.1895).

Record 15
VASP calculation (GGA-PBE) on crystalline SrGa12Cu6 at its relaxed geometry.

The structure belongs to space group R-3m (No. 166, hexagonal axes); the cell edges are 11.3650, 11.3650 and 8.7744 Å and the angles 90.00°, 90.00° and 120.00°. Symmetry generates all atoms from Sr at (0.0000, 0.0000, 0.0000), Ga at (0.0000, 0.3856, 0.5000), Ga at (0.0846, 0.1693, 0.3215) and Cu at (0.0449, 0.5225, 0.2431).

Record 16
VASP calculation (GGA-PBE) on crystalline Sr2Ga5Cu at its relaxed geometry.

The structure belongs to space group Cmcm (No. 63); the cell edges are 4.496, 17.172 and 9.235 Å and the angles 90.00°, 90.00° and 90.00°. Symmetry generates all atoms from Sr at (0.000, 0.000, 0.000), Sr at (0.000, 0.203, 0.250), Ga at (0.000, 0.188, 0.606), Ga at (0.000, 0.356, 0.523), Ga at (0.000, 0.417, 0.250) and Cu at (0.000, 0.438, 0.750).

The offset from the most stable computed form comes out at 0 kJ/mol of formula units.

Record 17
VASP calculation (GGA-PBE) on crystalline SrGa3Cu at its relaxed geometry.

The structure belongs to space group Pm-3m (No. 221); the cell edges are 4.828, 4.828 and 4.828 Å and the angles 90.00°, 90.00° and 90.00°. Symmetry generates all atoms from Sr at (0.000, 0.000, 0.000), Ga at (0.000, 0.500, 0.500) and Cu at (0.500, 0.500, 0.500).

Record 18
VASP calculation (GGA-PBE) on crystalline Sr3Ga5Cu6 at its relaxed geometry.

The structure belongs to space group Immm (No. 71); the cell edges are 4.267, 10.317 and 12.462 Å and the angles 90.00°, 90.00° and 90.00°. Symmetry generates all atoms from Sr at (0.000, 0.000, 0.000), Sr at (0.000, 0.000, 0.299), Ga at (0.000, 0.317, 0.323), Ga at (0.000, 0.500, 0.000), Cu at (0.000, 0.199, 0.500) and Cu at (0.000, 0.290, 0.111).

Record 19
VASP calculation (GGA-PBE) on crystalline Sr2Ga3Cu2 at its relaxed geometry.

The structure belongs to space group C2/m (No. 12); the cell edges are 11.411, 4.171 and 7.633 Å and the angles 90.00°, 123.05° and 90.00°. Symmetry generates all atoms from Sr at (0.134, 0.000, 0.262), Ga at (0.000, 0.500, 0.500), Ga at (0.150, 0.500, 0.939) and Cu at (0.125, 0.000, 0.698).

The offset from the most stable computed form comes out at 0 kJ/mol of formula units.

Record 20
VASP calculation (GGA-PBE) on crystalline SrGa2Cu at its relaxed geometry.

The structure belongs to space group Fm-3m (No. 225); the cell edges are 6.922, 6.922 and 6.922 Å and the angles 90.00°, 90.00° and 90.00°. Symmetry generates all atoms from Sr at (0.000, 0.000, 0.000), Ga at (0.250, 0.250, 0.250) and Cu at (0.000, 0.000, 0.500).

no.,uncorrected energy (eV per atom)
1,-3.98
2,-3.69
3,-3.64
4,-3.80
5,-3.55
6,-4.40
7,-3.10
8,-3.17
9,-3.96
10,-2.89
11,-3.09
12,-3.56
13,-2.81
14,-3.48
15,-3.40
16,-3.19
17,-3.10
18,-3.45
19,-3.25
20,-3.01